1.
First-principles (GGA-PBE) data for a relaxed Hf2Al crystal, as listed in the Open Quantum Materials Database.

a b c (Å): 5.687 5.687 5.687
angles (deg): 60.00 60.00 60.00
Element x y z (fractional)
Hf 0.000 0.000 0.000
Hf 0.000 0.000 0.500
Hf 0.000 0.500 0.000
Hf 0.500 0.000 0.000
Al 0.375 0.375 0.375
Al 0.625 0.625 0.625

Calculated values
Its symmetry is Fd-3m. Its total magnetization is 0.01 μB per atom. As for the calculated volume: 21.68 Å³/atom. Its total energy is -7.50 eV per atom.

=====

2.
First-principles (GGA-PBE) data for a relaxed ScInNiHg crystal, as listed in the Open Quantum Materials Database.

a b c (Å): 6.664 6.664 6.664
angles (deg): 90.00 90.00 90.00
Element x y z (fractional)
Sc 0.000 0.000 0.000
Sc 0.000 0.500 0.500
Sc 0.500 0.000 0.500
Sc 0.500 0.500 0.000
In 0.250 0.250 0.250
In 0.250 0.750 0.750
In 0.750 0.250 0.750
In 0.750 0.750 0.250
Ni 0.000 0.000 0.500
Ni 0.000 0.500 0.000
Ni 0.500 0.000 0.000
Ni 0.500 0.500 0.500
Hg 0.250 0.250 0.750
Hg 0.250 0.750 0.250
Hg 0.750 0.250 0.250
Hg 0.750 0.750 0.750

Calculated values
Its symmetry is F-43m. Its total magnetization is 0.00 μB per atom. As for the calculated volume: 18.49 Å³/atom. Its total energy is -3.94 eV per atom.

=====

3.
First-principles (GGA-PBE) data for a relaxed NpUHg crystal, as listed in the Open Quantum Materials Database.

a b c (Å): 6.785 6.785 6.785
angles (deg): 90.00 90.00 90.00
Element x y z (fractional)
Np 0.000 0.000 0.000
Np 0.000 0.500 0.500
Np 0.500 0.000 0.500
Np 0.500 0.500 0.000
U 0.250 0.250 0.250
U 0.250 0.750 0.750
U 0.750 0.250 0.750
U 0.750 0.750 0.250
Hg 0.250 0.250 0.750
Hg 0.250 0.750 0.250
Hg 0.750 0.250 0.250
Hg 0.750 0.750 0.750

Calculated values
Its calculated formation energy is 209 kJ/mol of formula units. Its symmetry is F-43m. Its total magnetization is 2.33 μB per atom. As for the calculated volume: 26.03 Å³/atom.

=====

4.
First-principles (GGA-PBE) data for a relaxed LiHfSe2 crystal, as listed in the Open Quantum Materials Database.

a b c (Å): 3.703 3.703 6.661
angles (deg): 90.00 90.00 120.00
Element x y z (fractional)
Li 0.000 0.000 0.000
Hf 0.000 0.000 0.500
Se 0.333 0.667 0.749
Se 0.667 0.333 0.251

Calculated values
Its symmetry is P-3m1. Its total magnetization is 0.00 μB per atom. As for the calculated volume: 19.78 Å³/atom. Its total energy is -6.01 eV per atom.

=====

5.
First-principles (GGA-PBE) data for a relaxed SrTm2O4 crystal, as listed in the Open Quantum Materials Database.

a b c (Å): 9.946 3.354 11.742
angles (deg): 90.00 90.00 90.00
Element x y z (fractional)
Sr 0.247 0.250 0.150
Sr 0.253 0.750 0.650
Sr 0.747 0.250 0.350
Sr 0.753 0.750 0.850
Tm 0.077 0.250 0.388
Tm 0.077 0.250 0.890
Tm 0.423 0.750 0.390
Tm 0.423 0.750 0.888
Tm 0.577 0.250 0.112
Tm 0.577 0.250 0.610
Tm 0.923 0.750 0.110
Tm 0.923 0.750 0.612
O 0.015 0.750 0.783
O 0.074 0.250 0.577
O 0.124 0.750 0.019
O 0.211 0.750 0.328
O 0.289 0.250 0.828
O 0.376 0.250 0.519
O 0.426 0.750 0.077
O 0.485 0.250 0.283
O 0.515 0.750 0.717
O 0.574 0.250 0.923
O 0.624 0.750 0.481
O 0.711 0.750 0.172
O 0.789 0.250 0.672
O 0.876 0.250 0.981
O 0.926 0.750 0.423
O 0.985 0.250 0.217

Calculated values
Its symmetry is Pnma. Its total magnetization is 0.00 μB per atom. As for the calculated volume: 13.99 Å³/atom. Its total energy is -7.76 eV per atom.

=====

6.
First-principles (GGA-PBE) data for a relaxed NaTaO3 crystal, as listed in the Open Quantum Materials Database.

a b c (Å): 5.534 7.784 5.466
angles (deg): 90.00 90.00 90.00
Element x y z (fractional)
Na 0.025 0.250 0.005
Na 0.475 0.750 0.505
Na 0.525 0.250 0.495
Na 0.975 0.750 0.995
Ta 0.000 0.000 0.500
Ta 0.000 0.500 0.500
Ta 0.500 0.000 0.000
Ta 0.500 0.500 0.000
O 0.014 0.750 0.427
O 0.212 0.537 0.788
O 0.212 0.963 0.788
O 0.288 0.037 0.288
O 0.288 0.463 0.288
O 0.486 0.250 0.927
O 0.514 0.750 0.073
O 0.712 0.537 0.712
O 0.712 0.963 0.712
O 0.788 0.037 0.212
O 0.788 0.463 0.212
O 0.986 0.250 0.573

Calculated values
Its symmetry is Pnma. Its total magnetization is 0.00 μB per atom. As for the calculated volume: 11.77 Å³/atom. Its total energy is -8.26 eV per atom.

=====

7.
First-principles (GGA-PBE) data for a relaxed Tm3IrF crystal, as listed in the Open Quantum Materials Database.

a b c (Å): 4.591 4.591 4.591
angles (deg): 90.00 90.00 90.00
Element x y z (fractional)
Tm 0.000 0.000 0.500
Tm 0.000 0.500 0.000
Tm 0.500 0.000 0.000
Ir 0.500 0.500 0.500
F 0.000 0.000 0.000

Calculated values
Its symmetry is Pm-3m. Its total magnetization is 0.00 μB per atom. As for the calculated volume: 19.35 Å³/atom. Its total energy is -5.82 eV per atom.

=====

8.
First-principles (GGA-PBE) data for a relaxed PrLuMo crystal, as listed in the Open Quantum Materials Database.

a b c (Å): 6.974 6.974 6.974
angles (deg): 90.00 90.00 90.00
Element x y z (fractional)
Pr 0.000 0.000 0.000
Pr 0.000 0.500 0.500
Pr 0.500 0.000 0.500
Pr 0.500 0.500 0.000
Lu 0.250 0.250 0.750
Lu 0.250 0.750 0.250
Lu 0.750 0.250 0.250
Lu 0.750 0.750 0.750
Mo 0.000 0.000 0.500
Mo 0.000 0.500 0.000
Mo 0.500 0.000 0.000
Mo 0.500 0.500 0.500

Calculated values
Its calculated formation energy is 343 kJ/mol of formula units. Its symmetry is F-43m. Its total magnetization is 0.59 μB per atom. As for the calculated volume: 28.27 Å³/atom.

=====

9.
First-principles (GGA-PBE) data for a relaxed LaThNb crystal, as listed in the Open Quantum Materials Database.

a b c (Å): 7.176 7.176 7.176
angles (deg): 90.00 90.00 90.00
Element x y z (fractional)
La 0.000 0.000 0.000
La 0.000 0.500 0.500
La 0.500 0.000 0.500
La 0.500 0.500 0.000
Th 0.000 0.000 0.500
Th 0.000 0.500 0.000
Th 0.500 0.000 0.000
Th 0.500 0.500 0.500
Nb 0.250 0.250 0.250
Nb 0.250 0.750 0.750
Nb 0.750 0.250 0.750
Nb 0.750 0.750 0.250

Calculated values
Its calculated formation energy is 162 kJ/mol of formula units. Its symmetry is F-43m. Its total magnetization is 0.00 μB per atom. As for the calculated volume: 30.80 Å³/atom.

=====

10.
First-principles (GGA-PBE) data for a relaxed ZrAgIr crystal, as listed in the Open Quantum Materials Database.

a b c (Å): 6.334 6.334 6.334
angles (deg): 90.00 90.00 90.00
Element x y z (fractional)
Zr 0.000 0.000 0.000
Zr 0.000 0.500 0.500
Zr 0.500 0.000 0.500
Zr 0.500 0.500 0.000
Ag 0.250 0.250 0.750
Ag 0.250 0.750 0.250
Ag 0.750 0.250 0.250
Ag 0.750 0.750 0.750
Ir 0.250 0.250 0.250
Ir 0.250 0.750 0.750
Ir 0.750 0.250 0.750
Ir 0.750 0.750 0.250

Calculated values
Its calculated formation energy is 29 kJ/mol of formula units. Its symmetry is F-43m. Its total magnetization is 0.00 μB per atom. As for the calculated volume: 21.18 Å³/atom.

=====

11.
First-principles (GGA-PBE) data for a relaxed TbTmOs crystal, as listed in the Open Quantum Materials Database.

a b c (Å): 6.638 6.638 6.638
angles (deg): 90.00 90.00 90.00
Element x y z (fractional)
Tb 0.000 0.000 0.000
Tb 0.000 0.500 0.500
Tb 0.500 0.000 0.500
Tb 0.500 0.500 0.000
Tm 0.250 0.250 0.750
Tm 0.250 0.750 0.250
Tm 0.750 0.250 0.250
Tm 0.750 0.750 0.750
Os 0.000 0.000 0.500
Os 0.000 0.500 0.000
Os 0.500 0.000 0.000
Os 0.500 0.500 0.500

Calculated values
Its calculated formation energy is 194 kJ/mol of formula units. Its symmetry is F-43m. Its total magnetization is 0.00 μB per atom. As for the calculated volume: 24.38 Å³/atom.

=====

12.
First-principles (GGA-PBE) data for a relaxed MgScBPt crystal, as listed in the Open Quantum Materials Database.

a b c (Å): 6.245 6.245 6.245
angles (deg): 90.00 90.00 90.00
Element x y z (fractional)
Mg 0.000 0.000 0.000
Mg 0.000 0.500 0.500
Mg 0.500 0.000 0.500
Mg 0.500 0.500 0.000
Sc 0.000 0.000 0.500
Sc 0.000 0.500 0.000
Sc 0.500 0.000 0.000
Sc 0.500 0.500 0.500
B 0.250 0.250 0.750
B 0.250 0.750 0.250
B 0.750 0.250 0.250
B 0.750 0.750 0.750
Pt 0.250 0.250 0.250
Pt 0.250 0.750 0.750
Pt 0.750 0.250 0.750
Pt 0.750 0.750 0.250

Calculated values
Its symmetry is F-43m. Its total magnetization is 0.00 μB per atom. As for the calculated volume: 15.23 Å³/atom. Its total energy is -5.41 eV per atom.

=====

- Which of these has the highest calculated volume?
  LaThNb

=====

- calculated volume of number 10 (ZrAgIr)?
  21.18 Å³/atom